YHo4Co, optimized geometry, DFT PBE; total DFT energy (no corrections) = -5.35 eV/atom; spin magnetization = 0.0 μB per cell
1.0
-5.4553 -2.0159 2.1483
-0.0018 -3.5237 -0.3820
5.8256 -2.3993 5.6907
Y Ho Co
1 4 1
direct
0.0000 0.0000 0.0000
0.5470 0.1241 0.2074
0.1264 0.2474 0.3788
0.8736 0.7526 0.6212
0.4530 0.8759 0.7926
0.5000 0.5000 0.5000